Computed, not measured: a relaxed structure of CaMgAs3 at the PBEsol level of DFT.

```
data_CaMgAs3
_cell_length_a 5.211
_cell_length_b 5.211
_cell_length_c 5.211
_cell_angle_alpha 90.00
_cell_angle_beta 90.00
_cell_angle_gamma 90.00
_symmetry_space_group_name_H-M 'P m -3 m'
_symmetry_Int_Tables_number 221
_symmetry_space_group_name_Hall '-P 4 2 3'
loop_
_atom_site_label
_atom_site_fract_x
_atom_site_fract_y
_atom_site_fract_z
Ca1 0.000 0.000 0.000
Mg1 0.500 0.500 0.500
As1 0.000 0.000 0.500
```

Properties
Crystal system = cubic
DFT formation energy = 0.59 eV/atom
DOS at the Fermi energy = 3.02 states/eV/f.u.

=====

Computed, not measured: a relaxed structure of CaMg2As at the PBEsol level of DFT.

```
data_CaMg2As
_cell_length_a 5.861
_cell_length_b 9.753
_cell_length_c 3.386
_cell_angle_alpha 90.00
_cell_angle_beta 90.00
_cell_angle_gamma 90.00
_symmetry_space_group_name_H-M 'C m m m'
_symmetry_Int_Tables_number 65
_symmetry_space_group_name_Hall '-C 2 2'
loop_
_atom_site_label
_atom_site_fract_x
_atom_site_fract_y
_atom_site_fract_z
Ca1 0.000 0.000 0.000
Mg1 0.250 0.250 0.500
As1 0.000 0.500 0.000
```

Properties
Crystal system = orthorhombic
DFT formation energy = -0.14 eV/atom
DOS at the Fermi energy = 2.53 states/eV/f.u.

=====

Computed, not measured: a relaxed structure of Ca2MgAs at the PBEsol level of DFT.

```
data_Ca2MgAs
_cell_length_a 4.894
_cell_length_b 4.894
_cell_length_c 8.442
_cell_angle_alpha 90.00
_cell_angle_beta 90.00
_cell_angle_gamma 90.00
_symmetry_space_group_name_H-M 'I 4/m m m'
_symmetry_Int_Tables_number 139
_symmetry_space_group_name_Hall '-I 4 2'
loop_
_atom_site_label
_atom_site_fract_x
_atom_site_fract_y
_atom_site_fract_z
Ca1 0.000 0.500 0.250
Mg1 0.000 0.000 0.000
As1 0.000 0.000 0.500
```

Properties
Crystal system = tetragonal
DFT formation energy = -0.46 eV/atom
DOS at the Fermi energy = 2.41 states/eV/f.u.
Excess energy over the best structure of this formula in the dataset = 150.2 meV/atom

=====

Computed, not measured: a relaxed structure of Ca2MgAs at the PBEsol level of DFT.

```
data_Ca2MgAs
_cell_length_a 3.819
_cell_length_b 3.819
_cell_length_c 6.975
_cell_angle_alpha 90.00
_cell_angle_beta 90.00
_cell_angle_gamma 90.00
_symmetry_space_group_name_H-M 'P 4/m m m'
_symmetry_Int_Tables_number 123
_symmetry_space_group_name_Hall '-P 4 2'
loop_
_atom_site_label
_atom_site_fract_x
_atom_site_fract_y
_atom_site_fract_z
Ca1 0.000 0.000 0.213
Mg1 0.500 0.500 0.500
As1 0.500 0.500 0.000
```

Properties
Crystal system = tetragonal
DFT formation energy = -0.61 eV/atom
DOS at the Fermi energy = 2.37 states/eV/f.u.
Excess energy over the best structure of this formula in the dataset = 0.0 meV/atom